A plane-wave DFT calculation with PBE with a Hubbard U was carried out for a geometry-optimized RbVN2O structure.

total moment	2.00	μB/f.u.
space group	P4/mmm (123)
total energy	-29.98	eV per formula unit

Cell: 4.0684 4.0684 3.9706 Å, 90.00 90.00 90.00°
Last column: magnetic moment on the atom in μB.
Fractional coordinates of all 5 atoms:
Rb 0.5000 0.5000 0.5000  0.06
N 0.5000 0.0000 0.0000  0.94
N 0.0000 0.5000 0.0000  0.94
V 0.0000 0.0000 0.0000  -1.12
O 0.0000 0.0000 0.5000  0.36